## A
Computed, not measured: a relaxed structure of YP2Au2 at the PBE level of DFT. Values from VASP.

N(E_F): 0.484 states/eV per atom
Total moment: 0.000 μB/f.u.

The structure in Quantum ESPRESSO input format:
```
&SYSTEM
  ibrav = 0, nat = 5, ntyp = 3
/
ATOMIC_SPECIES
Y 88.91 Y.upf
P 30.97 P.upf
Au 196.97 Au.upf
CELL_PARAMETERS angstrom
-1.9884 1.9884 6.0040
1.9884 -1.9884 6.0040
1.9884 1.9884 -6.0040
ATOMIC_POSITIONS angstrom
Y 0.0000 0.0000 0.0000
P 0.0000 0.0000 4.8459
P 0.0000 0.0000 7.1620
Au 1.9884 0.0000 3.0020
Au 0.0000 1.9884 3.0020
```


## B
Computed, not measured: a relaxed structure of YP2Au2 at the PBE level of DFT. Values from VASP.

N(E_F): 0.719 states/eV per atom
Total moment: 0.000 μB/f.u.

The structure in Quantum ESPRESSO input format:
```
&SYSTEM
  ibrav = 0, nat = 10, ntyp = 3
/
ATOMIC_SPECIES
Y 88.91 Y.upf
P 30.97 P.upf
Au 196.97 Au.upf
CELL_PARAMETERS angstrom
7.3078 0.0000 0.0000
0.0000 7.3078 0.0000
0.0000 0.0000 3.5742
ATOMIC_POSITIONS angstrom
Y 0.0000 0.0000 0.0000
Y 3.6539 3.6539 0.0000
P 1.1526 2.5013 0.0000
P 2.5013 6.1552 0.0000
P 4.8065 1.1526 0.0000
P 6.1552 4.8065 0.0000
Au 1.0774 4.7313 1.7871
Au 2.5765 1.0774 1.7871
Au 4.7313 6.2304 1.7871
Au 6.2304 2.5765 1.7871
```


How do the energies compare? Relative to the most stable structure, in kJ/mol of atoms: A 0.0; B 15.7.


## A
Computed, not measured: a relaxed structure of Zn2PAu2 at the PBE level of DFT. Values from VASP.

N(E_F): 0.504 states/eV per atom
Total moment: 0.000 μB/f.u.

The structure in Quantum ESPRESSO input format:
```
&SYSTEM
  ibrav = 0, nat = 10, ntyp = 3
/
ATOMIC_SPECIES
Zn 65.41 Zn.upf
P 30.97 P.upf
Au 196.97 Au.upf
CELL_PARAMETERS angstrom
7.7940 0.0000 0.0000
0.0000 7.7940 0.0000
0.0000 0.0000 2.8437
ATOMIC_POSITIONS angstrom
Zn 1.2951 2.6019 0.0000
Zn 2.6019 6.4989 0.0000
Zn 5.1921 1.2951 0.0000
Zn 6.4989 5.1921 0.0000
P 0.0000 0.0000 0.0000
P 3.8970 3.8970 0.0000
Au 1.0352 4.9321 1.4219
Au 2.8618 1.0352 1.4219
Au 4.9321 6.7588 1.4219
Au 6.7588 2.8618 1.4219
```


## B
Computed, not measured: a relaxed structure of Zn2PAu2 at the PBE level of DFT. Values from VASP.

N(E_F): 0.358 states/eV per atom
Total moment: 0.000 μB/f.u.

The structure in Quantum ESPRESSO input format:
```
&SYSTEM
  ibrav = 0, nat = 10, ntyp = 3
/
ATOMIC_SPECIES
Zn 65.41 Zn.upf
P 30.97 P.upf
Au 196.97 Au.upf
CELL_PARAMETERS angstrom
7.6057 0.0000 0.0000
0.0000 7.6057 0.0000
0.0000 0.0000 2.9370
ATOMIC_POSITIONS angstrom
Zn 0.9501 2.8527 0.0000
Zn 2.8527 6.6556 0.0000
Zn 4.7530 0.9501 0.0000
Zn 6.6556 4.7530 0.0000
P 0.0000 0.0000 1.4685
P 3.8029 3.8029 1.4685
Au 1.3277 5.1306 1.4685
Au 2.4751 1.3277 1.4685
Au 5.1306 6.2780 1.4685
Au 6.2780 2.4751 1.4685
```


How do the energies compare? Relative to the most stable structure, in kJ/mol of atoms: A 6.8; B 0.0.


## A
Computed, not measured: a relaxed structure of Zr3PAu at the PBE level of DFT. Values from VASP.

N(E_F): 0.459 states/eV per atom
Total moment: 0.000 μB/f.u.

The structure in Quantum ESPRESSO input format:
```
&SYSTEM
  ibrav = 0, nat = 5, ntyp = 3
/
ATOMIC_SPECIES
Zr 91.22 Zr.upf
P 30.97 P.upf
Au 196.97 Au.upf
CELL_PARAMETERS angstrom
4.8348 0.0000 0.0000
0.0000 4.8348 0.0000
0.0000 0.0000 4.8348
ATOMIC_POSITIONS angstrom
Zr 0.0000 0.0000 2.4174
Zr 0.0000 2.4174 0.0000
Zr 2.4174 0.0000 0.0000
P 0.0000 0.0000 0.0000
Au 2.4174 2.4174 2.4174
```


## B
Computed, not measured: a relaxed structure of Zr3PAu at the PBE level of DFT. Values from VASP.

N(E_F): 1.003 states/eV per atom
Total moment: 0.000 μB/f.u.

The structure in Quantum ESPRESSO input format:
```
&SYSTEM
  ibrav = 0, nat = 10, ntyp = 3
/
ATOMIC_SPECIES
Zr 91.22 Zr.upf
P 30.97 P.upf
Au 196.97 Au.upf
CELL_PARAMETERS angstrom
6.4929 0.0000 0.0000
0.0000 3.8457 0.0000
-1.5917 0.0000 8.1530
ATOMIC_POSITIONS angstrom
Zr -0.0201 0.9614 1.3759
Zr 1.4545 2.8842 3.4094
Zr 1.6324 2.8842 6.7081
Zr 3.2688 0.9614 1.4450
Zr 3.4466 0.9614 4.7436
Zr 4.9213 2.8842 6.7772
P 1.6271 2.8842 0.7034
P 3.2741 0.9614 7.4496
Au -0.0196 0.9614 5.0012
Au 4.9208 2.8842 3.1519
```


How do the energies compare? Relative to the most stable structure, in kJ/mol of atoms: A 37.2; B 0.0.


## A
Computed, not measured: a relaxed structure of Pa3Au at the PBE level of DFT. Values from VASP.

N(E_F): 2.301 states/eV per atom
Total moment: 0.000 μB/f.u.

The structure in Quantum ESPRESSO input format:
```
&SYSTEM
  ibrav = 0, nat = 4, ntyp = 2
/
ATOMIC_SPECIES
Pa 231.04 Pa.upf
Au 196.97 Au.upf
CELL_PARAMETERS angstrom
-2.2694 2.2694 4.5824
2.2694 -2.2694 4.5824
2.2694 2.2694 -4.5824
ATOMIC_POSITIONS angstrom
Pa 0.0000 0.0000 0.0000
Pa 2.2694 0.0000 2.2912
Pa 0.0000 2.2694 2.2912
Au 0.0000 0.0000 4.5824
```


## B
Computed, not measured: a relaxed structure of Pa3Au at the PBE level of DFT. Values from VASP.

N(E_F): 1.824 states/eV per atom
Total moment: 0.001 μB/f.u.

The structure in Quantum ESPRESSO input format:
```
&SYSTEM
  ibrav = 0, nat = 4, ntyp = 2
/
ATOMIC_SPECIES
Pa 231.04 Pa.upf
Au 196.97 Au.upf
CELL_PARAMETERS angstrom
5.4002 0.0000 0.0000
0.0000 5.4002 0.0000
0.0000 0.0000 3.2140
ATOMIC_POSITIONS angstrom
Pa 0.0000 0.0000 0.0000
Pa 0.0000 2.7001 1.6070
Pa 2.7001 0.0000 1.6070
Au 2.7001 2.7001 0.0000
```


How do the energies compare? Relative to the most stable structure, in kJ/mol of atoms: A 18.1; B 0.0.


## A
Computed, not measured: a relaxed structure of Pa3Au at the PBE level of DFT. Values from VASP.

N(E_F): 1.879 states/eV per atom
Total moment: 0.000 μB/f.u.

The structure in Quantum ESPRESSO input format:
```
&SYSTEM
  ibrav = 0, nat = 4, ntyp = 2
/
ATOMIC_SPECIES
Pa 231.04 Pa.upf
Au 196.97 Au.upf
CELL_PARAMETERS angstrom
-1.6063 5.3885 2.7357
1.6063 -5.3885 2.7357
1.6063 5.3885 -2.7357
ATOMIC_POSITIONS angstrom
Pa 0.0000 0.0000 0.0000
Pa 1.6063 2.9550 -0.9886
Pa 0.0000 2.4335 1.7471
Au 0.0000 5.3885 0.1366
```


## B
Computed, not measured: a relaxed structure of Pa3Au at the PBE level of DFT. Values from VASP.

N(E_F): 2.170 states/eV per atom
Total moment: 0.000 μB/f.u.

The structure in Quantum ESPRESSO input format:
```
&SYSTEM
  ibrav = 0, nat = 4, ntyp = 2
/
ATOMIC_SPECIES
Pa 231.04 Pa.upf
Au 196.97 Au.upf
CELL_PARAMETERS angstrom
4.5640 0.0000 0.0000
0.0000 4.5640 0.0000
0.0000 0.0000 4.5640
ATOMIC_POSITIONS angstrom
Pa 0.0000 0.0000 2.2820
Pa 0.0000 2.2820 0.0000
Pa 2.2820 0.0000 0.0000
Au 2.2820 2.2820 2.2820
```


How do the energies compare? Relative to the most stable structure, in kJ/mol of atoms: A 0.0; B 10.8.